P:
Crystalline Y2VBiC at its relaxed geometry. Source: Alexandria via LeMat-Bulk, functional PBE.

Cell: 5.0344 5.0344 4.1507 Å, 90.00 90.00 90.00°
Space group P4/mmm (No. 123)
Asymmetric unit:
Y (0.0000, 0.5000, 0.0000) x2
V (0.0000, 0.0000, 0.5000) x1
Bi (0.5000, 0.5000, 0.5000) x1
C (0.0000, 0.0000, 0.0000) x1

- magnetization (μB per formula unit) = 2.31
- crystal system = tetragonal

=====

Q:
Crystalline Y2VBiC at its relaxed geometry. Source: Alexandria via LeMat-Bulk, functional PBE.

Cell: 5.8637 5.8637 4.3784 Å, 90.00 90.00 90.00°
Space group P4/mmm (No. 123)
Asymmetric unit:
Y (0.0000, 0.5000, 0.0000) x2
V (0.0000, 0.0000, 0.5000) x1
Bi (0.5000, 0.5000, 0.0000) x1
C (0.5000, 0.5000, 0.5000) x1

- magnetization (μB per formula unit) = 0.13
- crystal system = tetragonal

=====

If you had to bet on the most stable structure above, which would it be? Bet on P.